{"formula": "Li2V3CoO8", "functional": "PBE+U", "state": "relaxed", "cell": [[-2.8606, -5.6286, 1.0694], [0.9479, -6.3330, 0.0425], [1.3854, -1.5193, 6.1800]], "species": ["O", "O", "O", "O", "O", "O", "O", "O", "Li", "Li", "V", "V", "V", "Co"], "frac_coords": [[0.8790, 0.8790, 0.6721], [0.4508, 0.4508, 0.3530], [0.6548, 0.6548, 0.9882], [0.3568, 0.3568, 0.9911], [0.2349, 0.2349, 0.6629], [0.5604, 0.5604, 0.6393], [0.1107, 0.1107, 0.3150], [0.7568, 0.7568, 0.3640], [0.9384, 0.9384, 0.3447], [0.0627, 0.0627, 0.6344], [0.3898, 0.3898, 0.7235], [0.6063, 0.6063, 0.2972], [0.7099, 0.7099, 0.7122], [0.2887, 0.2887, 0.3024]], "polymorph_energy_ev_per_atom": 0.075, "rho_g_cm3": 3.86}